DFT (PBE-GGA) results for a geometry-optimized PrTmZr structure.

Output
The energy relative to the lowest polymorph listed for this composition comes out at 0 meV per atom. As for the symmetry: F-43m (216). The crystal system is cubic. For the formation energy, the calculation gives 0.78 eV/atom. Its magnetization is 1.95 μB/f.u.

Cell lengths 5.245, 5.245, 5.245 Å; angles 60.00, 60.00, 60.00 degrees
Atoms (fractional coordinates):
Pr1 0.000 0.000 0.000
Tm1 0.500 0.500 0.500
Zr1 0.250 0.250 0.250



DFT (PBE-GGA) results for a geometry-optimized DySc2Al3Cu2Ni structure.

Output
As for the symmetry: Amm2 (38). The crystal system is orthorhombic. Its magnetization is 0.00 μB/f.u.

Cell lengths 3.838, 6.835, 6.835 Å; angles 119.87, 90.00, 90.00 degrees
Atoms (fractional coordinates):
Dy1 0.000 0.000 0.000
Sc1 0.000 0.180 0.589
Sc2 0.000 0.589 0.180
Al1 0.500 0.352 0.352
Al2 0.500 0.581 0.824
Al3 0.500 0.824 0.581
Cu1 0.500 0.260 0.917
Cu2 0.500 0.917 0.260
Ni1 0.000 0.580 0.580



DFT (PBE-GGA) results for a geometry-optimized CuNiGeW structure.

Output
The energy relative to the lowest polymorph listed for this composition comes out at 172 meV per atom. As for the symmetry: F-43m (216). The crystal system is cubic. Its magnetization is 1.07 μB/f.u.

Cell lengths 4.240, 4.240, 4.240 Å; angles 60.00, 60.00, 60.00 degrees
Atoms (fractional coordinates):
Cu1 0.000 0.000 0.000
Ni1 0.500 0.500 0.500
Ge1 0.750 0.750 0.750
W1 0.250 0.250 0.250



DFT (PBE-GGA) results for a geometry-optimized Tl2NiHgBr6 structure.

Output
As for the symmetry: Fm-3m (225). The crystal system is cubic. Its magnetization is 0.24 μB/f.u.

Cell lengths 7.532, 7.532, 7.532 Å; angles 60.00, 60.00, 60.00 degrees
Atoms (fractional coordinates):
Tl1 0.250 0.250 0.250
Tl2 0.750 0.750 0.750
Ni1 0.000 0.000 0.000
Hg1 0.500 0.500 0.500
Br1 0.234 0.234 0.766
Br2 0.234 0.766 0.234
Br3 0.234 0.766 0.766
Br4 0.766 0.234 0.234
Br5 0.766 0.234 0.766
Br6 0.766 0.766 0.234



DFT (PBE-GGA) results for a geometry-optimized AcAl5Ni2 structure.

Output
As for the symmetry: Immm (71). The crystal system is orthorhombic. Its magnetization is 0.01 μB/f.u.

Cell lengths 6.408, 6.408, 6.408 Å; angles 143.07, 112.91, 79.12 degrees
Atoms (fractional coordinates):
Ac1 0.000 0.000 0.000
Al1 0.149 0.338 0.812
Al2 0.474 0.662 0.812
Al3 0.500 0.000 0.500
Al4 0.526 0.338 0.188
Al5 0.851 0.662 0.188
Ni1 0.267 0.767 0.500
Ni2 0.733 0.233 0.500



DFT (PBE-GGA) results for a geometry-optimized ScNbCd2 structure.

Output
As for the symmetry: F-43m (216). The crystal system is cubic. For the formation energy, the calculation gives 0.26 eV/atom. Its magnetization is 2.92 μB/f.u.

Cell lengths 4.896, 4.896, 4.896 Å; angles 60.00, 60.00, 60.00 degrees
Atoms (fractional coordinates):
Sc1 0.000 0.000 0.000
Nb1 0.250 0.250 0.250
Cd1 0.500 0.500 0.500
Cd2 0.750 0.750 0.750



DFT (PBE-GGA) results for a geometry-optimized PmZnNi structure.

Output
The energy relative to the lowest polymorph listed for this composition comes out at 0 meV per atom. As for the symmetry: Pnma (62). The crystal system is orthorhombic. For the formation energy, the calculation gives -0.41 eV/atom. Its magnetization is 0.00 μB/f.u.

Cell lengths 6.919, 4.076, 8.049 Å; angles 90.00, 90.00, 90.00 degrees
Atoms (fractional coordinates):
Pm1 0.039 0.250 0.188
Pm2 0.461 0.750 0.688
Pm3 0.539 0.250 0.312
Pm4 0.961 0.750 0.812
Zn1 0.142 0.250 0.561
Zn2 0.358 0.750 0.061
Zn3 0.642 0.250 0.939
Zn4 0.858 0.750 0.439
Ni1 0.236 0.750 0.381
Ni2 0.264 0.250 0.881
Ni3 0.736 0.750 0.119
Ni4 0.764 0.250 0.619



DFT (PBE-GGA) results for a geometry-optimized SrIn3Au structure.

Output
As for the symmetry: I4mm (107). The crystal system is tetragonal.

Cell lengths 7.081, 7.081, 7.081 Å; angles 142.02, 142.02, 54.79 degrees
Atoms (fractional coordinates):
Sr1 0.000 0.000 0.000
In1 0.263 0.763 0.500
In2 0.612 0.612 0.000
In3 0.763 0.263 0.500
Au1 0.397 0.397 0.000



Calculated total energy (eV/cell), listed in the same order as above: -15.450, -46.081, -25.114, -25.638, -38.585, -17.181, -51.178, -15.381